Entry from Alexandria: a relaxed Tb7NdIn4 crystal (PBE-GGA).

Computed properties:
VASP energy: -49.50 eV/cell

Geometry as CIF:
```
data_Tb7NdIn4
_cell_length_a 7.801
_cell_length_b 7.801
_cell_length_c 10.573
_cell_angle_alpha 121.18
_cell_angle_beta 121.18
_cell_angle_gamma 42.80
_space_group_name_H-M_alt 'P 1'
_space_group_IT_number 1
loop_
_space_group_symop_operation_xyz
'x,y,z'
loop_
_atom_site_label
_atom_site_type_symbol
_atom_site_fract_x
_atom_site_fract_y
_atom_site_fract_z
Tb1 Tb 0.000 0.000 0.000
Tb2 Tb 0.217 0.217 0.655
Tb3 Tb 0.290 0.290 0.123
Tb4 Tb 0.437 0.437 0.605
Tb5 Tb 0.563 0.563 0.395
Tb6 Tb 0.710 0.710 0.877
Tb7 Tb 0.783 0.783 0.345
Nd1 Nd 0.500 0.500 0.000
In1 In 0.060 0.060 0.759
In2 In 0.182 0.182 0.333
In3 In 0.818 0.818 0.667
In4 In 0.940 0.940 0.241
```